# SrRhF (PBE, optimized geometry)
data_SrRhF
_chemical_formula_sum 'Sr2 Rh2 F2'
_symmetry_space_group_name_H-M 'P 1'
_symmetry_Int_Tables_number 1
_cell_length_a 8.9855
_cell_length_b 3.6176
_cell_length_c 3.6177
_cell_angle_alpha 90.00
_cell_angle_beta 78.39
_cell_angle_gamma 101.61
loop_
_symmetry_equiv_pos_as_xyz
'x,y,z'
loop_
_atom_site_label
_atom_site_fract_x
_atom_site_fract_y
_atom_site_fract_z
Sr1 0.8659 0.3783 0.1718
Sr2 0.4672 0.6790 0.8710
Rh1 0.1665 0.5298 0.5220
Rh2 0.1665 0.0296 0.0222
F1 0.7683 0.8292 0.7204
F2 0.5647 0.2275 0.3220
# Calculated total energy, eV per cell: -32.96
# Fermi-level density of states, states/eV/atom: 0.75

# Sr2RhF6 (PBE, optimized geometry)
data_Sr2RhF6
_chemical_formula_sum 'Sr4 Rh2 F12'
_symmetry_space_group_name_H-M 'P 1'
_symmetry_Int_Tables_number 1
_cell_length_a 5.2962
_cell_length_b 5.2962
_cell_length_c 11.3516
_cell_angle_alpha 90.00
_cell_angle_beta 90.00
_cell_angle_gamma 90.00
loop_
_symmetry_equiv_pos_as_xyz
'x,y,z'
loop_
_atom_site_label
_atom_site_fract_x
_atom_site_fract_y
_atom_site_fract_z
Sr1 0.0000 0.0000 0.3356
Sr2 0.5000 0.5000 0.8356
Sr3 0.5000 0.5000 0.1644
Sr4 0.0000 0.0000 0.6644
Rh1 0.0000 0.0000 0.0000
Rh2 0.5000 0.5000 0.5000
F1 0.3178 0.3178 0.3407
F2 0.6822 0.6822 0.3407
F3 0.1822 0.8178 0.8407
F4 0.8178 0.1822 0.8407
F5 0.1822 0.8178 0.1593
F6 0.8178 0.1822 0.1593
F7 0.3178 0.3178 0.6593
F8 0.6822 0.6822 0.6593
F9 0.2757 0.2757 0.0000
F10 0.7243 0.7243 0.0000
F11 0.2243 0.7757 0.5000
F12 0.7757 0.2243 0.5000
# Calculated total energy, eV per cell: -95.98

Number 1: total magnetization 0.059 μB/atom. Number 2: total magnetization 0.110 μB/atom.